VASP calculation (PBE) on a relaxed structure of SrAlPb.

## Properties
* total magnetization: 0.000 μB/atom
* VASP energy: -3.21 eV/atom
* ρ: 6.01 g/cm³
* V: 29.623 Å³/atom

a = 3.8472 Å, b = 3.8472 Å, c = 12.0086 Å
α = 90.00°, β = 90.00°, γ = 90.00°
Last column: nearest neighbours and their distance in Å.
Space group I4mm (No. 107)
Inequivalent atoms, fractional coordinates:
Sr (0.0000, 0.0000, 0.0000) [2 per cell]  5 Al 3.52-3.77, 5 Pb 3.60-3.63, 4 Sr 3.85
Al (0.0000, 0.0000, 0.3139) [2 per cell]  4 Pb 3.04
Pb (0.0000, 0.0000, 0.7001) [2 per cell]  4 Al 3.04